No. 1
Here is KBeP4 after structural relaxation from Alexandria. Energies are from PBEsol.

Lattice parameters (Å, degrees): 7.774 7.774 7.774 90.00 90.00 90.00
Space group F-43m (No. 216)
Asymmetric unit:
K: 0.000 0.000 0.000 x4
Be: 0.250 0.250 0.250 x4
P: 0.103 0.103 0.603 x16

## Properties
- E_form (eV/atom) = 0.48
- total moment (μB per cell) = 0.0

***

No. 2
Here is KBe2P2 after structural relaxation from Alexandria. Energies are from PBEsol.

Lattice parameters (Å, degrees): 3.440 3.440 14.358 90.00 90.00 90.00
Space group I4/mmm (No. 139)
Asymmetric unit:
K: 0.000 0.000 0.000 x2
Be: 0.000 0.500 0.250 x4
P: 0.000 0.000 0.346 x4

## Properties
- E_form (eV/atom) = -0.36
- total moment (μB per cell) = 0.0

***

No. 3
Here is K4BeP2 after structural relaxation from Alexandria. Energies are from PBEsol.

Lattice parameters (Å, degrees): 5.5124 5.5124 25.0150 90.00 90.00 120.00
Space group R-3m (No. 166, hexagonal axes)
Asymmetric unit:
K: 0.0000 0.0000 0.1231 x6
K: 0.0000 0.0000 0.2913 x6
Be: 0.0000 0.0000 0.5000 x3
P: 0.0000 0.0000 0.4205 x6

## Properties
- E_form (eV/atom) = -0.35
- total moment (μB per cell) = 0.0

***

Uncorrected energy across the listed records, respectively: -101.76 -45.03 -67.71 eV/cell.